1.
The following is a PBE calculation of crystalline LaCu4Au4 at its relaxed geometry, from Alexandria via LeMat-Bulk.

Calculated values
total energy = -3.90 eV/atom
density of states at the Fermi level = 0.39 states/eV per atom
crystal system = tetragonal
energy of formation from the pure elements = -0.079 eV per atom

a = 8.3410 Å, b = 8.3410 Å, c = 4.7479 Å
α = 90.00°, β = 90.00°, γ = 90.00°
Space group I4/m (No. 87)
Unique sites:
La: 0.0000 0.0000 0.0000
Cu: 0.1095 0.2099 0.5000
Au: 0.0925 0.3598 0.0000


2.
The following is a PBE calculation of crystalline La2Cu15Au2 at its relaxed geometry, from Alexandria via LeMat-Bulk.

Calculated values
total energy = -4.23 eV/atom
density of states at the Fermi level = 0.38 states/eV per atom
crystal system = trigonal
energy of formation from the pure elements = -0.135 eV per atom

a = 8.8216 Å, b = 8.8216 Å, c = 12.8021 Å
α = 90.00°, β = 90.00°, γ = 120.00°
Space group R-3m (No. 166, hexagonal axes)
Unique sites:
La: 0.0000 0.0000 0.1544
Cu: 0.0000 0.2961 0.5000
Cu: 0.0000 0.5000 0.0000
Cu: 0.0021 0.5010 0.6555
Au: 0.0000 0.0000 0.3934


3.
The following is a PBE calculation of crystalline LaCu5Au at its relaxed geometry, from Alexandria via LeMat-Bulk.

Calculated values
total energy = -4.35 eV/atom
density of states at the Fermi level = 0.48 states/eV per atom
crystal system = orthorhombic
energy of formation from the pure elements = -0.253 eV per atom

a = 8.3246 Å, b = 5.1577 Å, c = 10.4375 Å
α = 90.00°, β = 90.00°, γ = 90.00°
Space group Pnma (No. 62)
Unique sites:
La: 0.2391 0.2500 0.0630
Cu: 0.0586 0.7500 0.1090
Cu: 0.0655 0.0002 0.3137
Cu: 0.0904 0.2500 0.5168
Cu: 0.1842 0.2500 0.7484
Au: 0.1419 0.7500 0.8619


4.
The following is a PBE calculation of crystalline La3Cu4Au4 at its relaxed geometry, from Alexandria via LeMat-Bulk.

Calculated values
total energy = -4.53 eV/atom
density of states at the Fermi level = 0.49 states/eV per atom
crystal system = orthorhombic
energy of formation from the pure elements = -0.506 eV per atom

a = 4.4047 Å, b = 7.1820 Å, c = 14.8151 Å
α = 90.00°, β = 90.00°, γ = 90.00°
Space group Immm (No. 71)
Unique sites:
La: 0.0000 0.0000 0.0000
La: 0.0000 0.5000 0.1392
Cu: 0.0000 0.3131 0.3300
Au: 0.0000 0.0000 0.2129
Au: 0.0000 0.1962 0.5000


Among the records above, which one has the lowest energy of formation from the pure elements? La3Cu4Au4